Record 1
Entry from Alexandria via LeMat-Bulk: crystalline Cr2GaS at its relaxed geometry (PBE).

N(E_F), states/eV per cell: 6.05
Uncorrected formation energy, eV/atom: 0.199
Offset from the most stable computed form, eV/atom: 0.0000
Space group: I-42d, No. 122
DFT total energy, eV/atom: -6.4013

Structure (POSCAR):
```
Cr2GaS
1.0
-0.268 0.201 -6.533
1.101 -6.444 -0.243
-2.382 -3.604 -3.288
Cr S Ga
4 2 2
Direct
0.572 0.125 0.250 Cr
0.178 0.625 0.250 Cr
0.375 0.428 0.750 Cr
0.875 0.822 0.750 Cr
0.500 0.500 0.000 S
0.250 0.750 0.500 S
0.000 0.000 0.000 Ga
0.750 0.250 0.500 Ga
```

=====

Record 2
Entry from Alexandria via LeMat-Bulk: crystalline Pr7Sm12Y at its relaxed geometry (PBE).

N(E_F), states/eV per cell: 30.03
Calculated formation energy, eV/atom: 0.59
Offset from the most stable computed form, eV/atom: 0.3751
Space group: Im-3, No. 204
DFT total energy, eV/atom: -4.2329

Structure (POSCAR):
```
Pr7Sm12Y
1.0
9.452 0.000 -3.342
-4.726 8.186 -3.342
0.000 0.000 10.026
Pr Sm Y
7 12 1
Direct
0.500 0.500 0.000 Pr
0.000 0.500 0.500 Pr
0.500 0.000 0.500 Pr
0.500 0.500 0.500 Pr
0.000 0.000 0.500 Pr
0.500 0.000 0.000 Pr
0.000 0.500 0.000 Pr
0.506 0.753 0.753 Sm
0.001 0.753 0.247 Sm
0.494 0.247 0.247 Sm
0.999 0.247 0.753 Sm
0.753 0.999 0.247 Sm
0.753 0.506 0.753 Sm
0.247 0.001 0.753 Sm
0.247 0.494 0.247 Sm
0.753 0.753 0.506 Sm
0.247 0.247 0.494 Sm
0.753 0.247 0.001 Sm
0.247 0.753 0.999 Sm
0.000 0.000 0.000 Y
```

=====

Record 3
Entry from Alexandria via LeMat-Bulk: crystalline LaTlTeW2 at its relaxed geometry (PBE).

N(E_F), states/eV per cell: 8.29
Uncorrected formation energy, eV/atom: 1.520
Space group: P4/mmm, No. 123
DFT total energy, eV/atom: -5.7487

Structure (POSCAR):
```
LaTlTeW2
1.0
4.986 0.000 0.000
0.000 5.915 0.000
0.000 0.000 4.986
Tl Te W La
1 1 2 1
Direct
0.500 0.500 0.500 Tl
0.000 0.000 0.000 Te
0.000 0.000 0.500 W
0.500 0.000 0.000 W
0.000 0.500 0.000 La
```

=====

Record 4
Entry from Alexandria via LeMat-Bulk: crystalline Rb2Tl6CdSn at its relaxed geometry (PBE).

N(E_F), states/eV per cell: 9.22
Calculated formation energy, eV/atom: 0.00
Space group: R-3m, No. 166
DFT total energy, eV/atom: -2.1010

Structure (POSCAR):
```
Rb2Tl6CdSn
1.0
-5.025 -1.562 6.430
2.463 -5.141 6.044
4.465 8.174 10.843
Rb Tl Cd Sn
4 12 2 2
Direct
0.850 0.850 0.450 Rb
0.150 0.150 0.550 Rb
0.706 0.706 0.881 Rb
0.294 0.294 0.119 Rb
0.857 0.404 0.336 Tl
0.404 0.857 0.336 Tl
0.404 0.404 0.336 Tl
0.143 0.596 0.664 Tl
0.596 0.143 0.664 Tl
0.596 0.596 0.664 Tl
0.806 0.191 0.811 Tl
0.191 0.806 0.811 Tl
0.191 0.191 0.811 Tl
0.194 0.809 0.189 Tl
0.809 0.194 0.189 Tl
0.809 0.809 0.189 Tl
0.000 0.000 0.000 Cd
0.500 0.500 0.500 Cd
0.616 0.616 0.152 Sn
0.384 0.384 0.848 Sn
```